# LaPPbAu2, optimized geometry, DFT PBE
# Formation energy from the elements = -167 meV/atom
# Crystal system = tetragonal
# Magnetization = 0.0 μB/f.u.
data_LaPPbAu2
_chemical_formula_sum 'La1 P1 Pb1 Au2'
_space_group_name_H-M_alt 'P 4/m m m'
_space_group_IT_number 123
_space_group_name_Hall '-P 4 2'
_cell_length_a 4.7727
_cell_length_b 4.7727
_cell_length_c 5.7002
_cell_angle_alpha 90.00
_cell_angle_beta 90.00
_cell_angle_gamma 90.00
loop_
_atom_site_label
_atom_site_type_symbol
_atom_site_fract_x
_atom_site_fract_y
_atom_site_fract_z
La1 La 0.0000 0.0000 0.0000
P1 P 0.5000 0.5000 0.5000
Pb1 Pb 0.5000 0.5000 0.0000
Au1 Au 0.0000 0.5000 0.5000

***

# Ca2Al2Ru, optimized geometry, DFT PBE
# Formation energy from the elements = -94 meV/atom
# Crystal system = tetragonal
# Magnetization = 0.0 μB/f.u.
data_Ca2Al2Ru
_chemical_formula_sum 'Ca4 Al4 Ru2'
_space_group_name_H-M_alt 'P 4/m b m'
_space_group_IT_number 127
_space_group_name_Hall '-P 4 2ab'
_cell_length_a 6.6831
_cell_length_b 6.6831
_cell_length_c 5.0266
_cell_angle_alpha 90.00
_cell_angle_beta 90.00
_cell_angle_gamma 90.00
loop_
_atom_site_label
_atom_site_type_symbol
_atom_site_fract_x
_atom_site_fract_y
_atom_site_fract_z
Ca1 Ca 0.1799 0.3201 0.0000
Al1 Al 0.1468 0.6468 0.5000
Ru1 Ru 0.0000 0.0000 0.5000

***

# BaIn2AgSn, optimized geometry, DFT PBE
# Formation energy from the elements = -362 meV/atom
# Crystal system = orthorhombic
# Magnetization = 0.0 μB/f.u.
data_BaIn2AgSn
_chemical_formula_sum 'Ba2 In4 Ag2 Sn2'
_space_group_name_H-M_alt 'I m m 2'
_space_group_IT_number 44
_space_group_name_Hall 'I 2 -2'
_cell_length_a 4.8060
_cell_length_b 4.9441
_cell_length_c 12.2951
_cell_angle_alpha 90.00
_cell_angle_beta 90.00
_cell_angle_gamma 90.00
loop_
_atom_site_label
_atom_site_type_symbol
_atom_site_fract_x
_atom_site_fract_y
_atom_site_fract_z
Ba1 Ba 0.0000 0.0000 0.0000
In1 In 0.0000 0.0000 0.3789
In2 In 0.0000 0.5000 0.2535
Ag1 Ag 0.0000 0.5000 0.7451
Sn1 Sn 0.0000 0.0000 0.6146

***

# La3SbTeCl, optimized geometry, DFT PBE
# Crystal system = monoclinic
# Magnetization = 0.9 μB/f.u.
# Formation energy without anion corrections = -1378 meV per atom
data_La3SbTeCl
_chemical_formula_sum 'La6 Sb2 Te2 Cl2'
_space_group_name_H-M_alt 'P 1 21/m 1'
_space_group_IT_number 11
_space_group_name_Hall '-P 2yb'
_cell_length_a 9.0579
_cell_length_b 4.5442
_cell_length_c 9.9635
_cell_angle_alpha 90.00
_cell_angle_beta 100.96
_cell_angle_gamma 90.00
loop_
_atom_site_label
_atom_site_type_symbol
_atom_site_fract_x
_atom_site_fract_y
_atom_site_fract_z
La1 La 0.0872 0.2500 0.3416
La2 La 0.2448 0.2500 0.9933
La3 La 0.3990 0.7500 0.6239
Sb1 Sb 0.1602 0.2500 0.6646
Te1 Te 0.3279 0.7500 0.2750
Cl1 Cl 0.4097 0.7500 0.9148

***

# CuMo2HAu, optimized geometry, DFT PBE
# Crystal system = tetragonal
# Magnetization = 0.0 μB/f.u.
# E = -6.29 eV per atom
data_CuMo2HAu
_chemical_formula_sum 'Cu1 Mo2 H1 Au1'
_space_group_name_H-M_alt 'P 4/m m m'
_space_group_IT_number 123
_space_group_name_Hall '-P 4 2'
_cell_length_a 3.8538
_cell_length_b 3.8538
_cell_length_c 4.3065
_cell_angle_alpha 90.00
_cell_angle_beta 90.00
_cell_angle_gamma 90.00
loop_
_atom_site_label
_atom_site_type_symbol
_atom_site_fract_x
_atom_site_fract_y
_atom_site_fract_z
Cu1 Cu 0.0000 0.0000 0.0000
Mo1 Mo 0.0000 0.5000 0.5000
H1 H 0.0000 0.0000 0.5000
Au1 Au 0.5000 0.5000 0.0000

***

# NaFe2SbPd, optimized geometry, DFT PBE
# Crystal system = tetragonal
# Magnetization = 6.7 μB/f.u.
# Formation energy without anion corrections = 692 meV per atom
data_NaFe2SbPd
_chemical_formula_sum 'Na1 Fe2 Sb1 Pd1'
_space_group_name_H-M_alt 'P 4/m m m'
_space_group_IT_number 123
_space_group_name_Hall '-P 4 2'
_cell_length_a 4.8720
_cell_length_b 4.8720
_cell_length_c 5.0244
_cell_angle_alpha 90.00
_cell_angle_beta 90.00
_cell_angle_gamma 90.00
loop_
_atom_site_label
_atom_site_type_symbol
_atom_site_fract_x
_atom_site_fract_y
_atom_site_fract_z
Na1 Na 0.0000 0.0000 0.0000
Fe1 Fe 0.0000 0.5000 0.5000
Sb1 Sb 0.5000 0.5000 0.0000
Pd1 Pd 0.5000 0.5000 0.5000

***

# SrTe2Pb, optimized geometry, DFT PBE
# Crystal system = trigonal
# Magnetization = 0.0 μB/f.u.
# Formation energy without anion corrections = -458 meV per atom
data_SrTe2Pb
_chemical_formula_sum 'Sr3 Te6 Pb3'
_space_group_name_H-M_alt 'R -3 m'
_space_group_IT_number 166
_space_group_name_Hall '-R 3 2"'
_cell_length_a 4.0966
_cell_length_b 4.0966
_cell_length_c 32.5585
_cell_angle_alpha 90.00
_cell_angle_beta 90.00
_cell_angle_gamma 120.00
loop_
_atom_site_label
_atom_site_type_symbol
_atom_site_fract_x
_atom_site_fract_y
_atom_site_fract_z
Sr1 Sr 0.0000 0.0000 0.0000
Te1 Te 0.0000 0.0000 0.4027
Pb1 Pb 0.0000 0.0000 0.5000

***

# LiZr2Ga2, optimized geometry, DFT PBE
# Formation energy from the elements = -215 meV/atom
# Crystal system = tetragonal
# Magnetization = 0.0 μB/f.u.
# Offset from the most stable computed form = 190 meV/atom
data_LiZr2Ga2
_chemical_formula_sum 'Li2 Zr4 Ga4'
_space_group_name_H-M_alt 'P 4/m b m'
_space_group_IT_number 127
_space_group_name_Hall '-P 4 2ab'
_cell_length_a 8.3513
_cell_length_b 8.3513
_cell_length_c 2.9907
_cell_angle_alpha 90.00
_cell_angle_beta 90.00
_cell_angle_gamma 90.00
loop_
_atom_site_label
_atom_site_type_symbol
_atom_site_fract_x
_atom_site_fract_y
_atom_site_fract_z
Li1 Li 0.0000 0.0000 0.0000
Zr1 Zr 0.1296 0.3704 0.0000
Ga1 Ga 0.1688 0.6688 0.5000

***

# FeSb2RhAu, optimized geometry, DFT PBE
# Crystal system = tetragonal
# Magnetization = 2.6 μB/f.u.
# Formation energy without anion corrections = 605 meV per atom
data_FeSb2RhAu
_chemical_formula_sum 'Fe1 Sb2 Rh1 Au1'
_space_group_name_H-M_alt 'P 4/m m m'
_space_group_IT_number 123
_space_group_name_Hall '-P 4 2'
_cell_length_a 4.7889
_cell_length_b 4.7889
_cell_length_c 4.7147
_cell_angle_alpha 90.00
_cell_angle_beta 90.00
_cell_angle_gamma 90.00
loop_
_atom_site_label
_atom_site_type_symbol
_atom_site_fract_x
_atom_site_fract_y
_atom_site_fract_z
Fe1 Fe 0.0000 0.0000 0.0000
Sb1 Sb 0.0000 0.5000 0.0000
Rh1 Rh 0.0000 0.0000 0.5000
Au1 Au 0.5000 0.5000 0.5000

***

# Eu2HoMg, optimized geometry, DFT PBE
# Formation energy from the elements = 95 meV/atom
# Crystal system = cubic
# Magnetization = 14.5 μB/f.u.
# Offset from the most stable computed form = 49 meV/atom
data_Eu2HoMg
_chemical_formula_sum 'Eu8 Ho4 Mg4'
_space_group_name_H-M_alt 'F m -3 m'
_space_group_IT_number 225
_space_group_name_Hall '-F 4 2 3'
_cell_length_a 8.1281
_cell_length_b 8.1281
_cell_length_c 8.1281
_cell_angle_alpha 90.00
_cell_angle_beta 90.00
_cell_angle_gamma 90.00
loop_
_atom_site_label
_atom_site_type_symbol
_atom_site_fract_x
_atom_site_fract_y
_atom_site_fract_z
Eu1 Eu 0.2500 0.2500 0.2500
Ho1 Ho 0.0000 0.0000 0.0000
Mg1 Mg 0.0000 0.0000 0.5000

***

# Sc5SnRh, optimized geometry, DFT PBE
# Formation energy from the elements = -420 meV/atom
# Crystal system = monoclinic
# Magnetization = 0.0 μB/f.u.
data_Sc5SnRh
_chemical_formula_sum 'Sc20 Sn4 Rh4'
_space_group_name_H-M_alt 'C 1 2/c 1'
_space_group_IT_number 15
_space_group_name_Hall '-C 2yc'
_cell_length_a 8.2113
_cell_length_b 8.5420
_cell_length_c 9.2324
_cell_angle_alpha 90.00
_cell_angle_beta 94.96
_cell_angle_gamma 90.00
loop_
_atom_site_label
_atom_site_type_symbol
_atom_site_fract_x
_atom_site_fract_y
_atom_site_fract_z
Sc1 Sc 0.0000 0.1319 0.2500
Sc2 Sc 0.1581 0.2197 0.6553
Sc3 Sc 0.1936 0.4117 0.0112
Sn1 Sn 0.0000 0.4767 0.2500
Rh1 Rh 0.0000 0.0000 0.0000

***

# Tb5Nd2Ho12, optimized geometry, DFT PBE
# Formation energy from the elements = 132 meV/atom
# Crystal system = monoclinic
# Magnetization = 0.0 μB/f.u.
# Offset from the most stable computed form = 70 meV/atom
data_Tb5Nd2Ho12
_chemical_formula_sum 'Tb10 Nd4 Ho24'
_space_group_name_H-M_alt 'C 1 2/m 1'
_space_group_IT_number 12
_space_group_name_Hall '-C 2y'
_cell_length_a 15.7116
_cell_length_b 9.2210
_cell_length_c 8.5249
_cell_angle_alpha 90.00
_cell_angle_beta 91.37
_cell_angle_gamma 90.00
loop_
_atom_site_label
_atom_site_type_symbol
_atom_site_fract_x
_atom_site_fract_y
_atom_site_fract_z
Tb1 Tb 0.0000 0.0000 0.0000
Tb2 Tb 0.1990 0.5000 0.5107
Tb3 Tb 0.2315 0.0000 0.0752
Nd1 Nd 0.0000 0.3173 0.5000
Ho1 Ho 0.0576 0.5000 0.8309
Ho2 Ho 0.0907 0.0000 0.3819
Ho3 Ho 0.1270 0.3090 0.1551
Ho4 Ho 0.1549 0.1802 0.7442

***

# Ti2GaH, optimized geometry, DFT PBE
# Crystal system = orthorhombic
# Magnetization = 0.4 μB/f.u.
# Offset from the most stable computed form = 0 meV/atom
data_Ti2GaH
_chemical_formula_sum 'Ti8 Ga4 H4'
_space_group_name_H-M_alt 'C m c m'
_space_group_IT_number 63
_space_group_name_Hall '-C 2c 2'
_cell_length_a 3.7930
_cell_length_b 13.1018
_cell_length_c 4.0487
_cell_angle_alpha 90.00
_cell_angle_beta 90.00
_cell_angle_gamma 90.00
loop_
_atom_site_label
_atom_site_type_symbol
_atom_site_fract_x
_atom_site_fract_y
_atom_site_fract_z
Ti1 Ti 0.0000 0.0754 0.2500
Ti2 Ti 0.0000 0.2440 0.7500
Ga1 Ga 0.0000 0.4135 0.2500
H1 H 0.0000 0.2195 0.2500

***

# SmGa3Pd, optimized geometry, DFT PBE
# Formation energy from the elements = -622 meV/atom
# Crystal system = tetragonal
# Magnetization = 0.0 μB/f.u.
# Offset from the most stable computed form = 58 meV/atom
data_SmGa3Pd
_chemical_formula_sum 'Sm1 Ga3 Pd1'
_space_group_name_H-M_alt 'P 4 m m'
_space_group_IT_number 99
_space_group_name_Hall 'P 4 -2'
_cell_length_a 4.1476
_cell_length_b 4.1476
_cell_length_c 5.6757
_cell_angle_alpha 90.00
_cell_angle_beta 90.00
_cell_angle_gamma 90.00
loop_
_atom_site_label
_atom_site_type_symbol
_atom_site_fract_x
_atom_site_fract_y
_atom_site_fract_z
Sm1 Sm 0.0000 0.0000 0.0000
Ga1 Ga 0.0000 0.5000 0.4964
Ga2 Ga 0.5000 0.5000 0.7903
Pd1 Pd 0.5000 0.5000 0.2240

***

# MgTc2Ge2, optimized geometry, DFT PBE
# Formation energy from the elements = -120 meV/atom
# Crystal system = tetragonal
# Magnetization = 0.0 μB/f.u.
# Offset from the most stable computed form = 0 meV/atom
data_MgTc2Ge2
_chemical_formula_sum 'Mg2 Tc4 Ge4'
_space_group_name_H-M_alt 'P 4/m b m'
_space_group_IT_number 127
_space_group_name_Hall '-P 4 2ab'
_cell_length_a 7.0805
_cell_length_b 7.0805
_cell_length_c 3.0989
_cell_angle_alpha 90.00
_cell_angle_beta 90.00
_cell_angle_gamma 90.00
loop_
_atom_site_label
_atom_site_type_symbol
_atom_site_fract_x
_atom_site_fract_y
_atom_site_fract_z
Mg1 Mg 0.0000 0.0000 0.0000
Tc1 Tc 0.1516 0.3484 0.5000
Ge1 Ge 0.1423 0.6423 0.0000

***

# Tl2Ga6Sn, optimized geometry, DFT PBE
# Formation energy from the elements = 9 meV/atom
# Crystal system = trigonal
# Magnetization = 0.0 μB/f.u.
data_Tl2Ga6Sn
_chemical_formula_sum 'Tl2 Ga6 Sn1'
_space_group_name_H-M_alt 'P -3 m 1'
_space_group_IT_number 164
_space_group_name_Hall '-P 3 2"'
_cell_length_a 6.0904
_cell_length_b 6.0904
_cell_length_c 6.4529
_cell_angle_alpha 90.00
_cell_angle_beta 90.00
_cell_angle_gamma 120.00
loop_
_atom_site_label
_atom_site_type_symbol
_atom_site_fract_x
_atom_site_fract_y
_atom_site_fract_z
Tl1 Tl 0.3333 0.6667 0.3702
Ga1 Ga 0.1797 0.3594 0.8487
Sn1 Sn 0.0000 0.0000 0.5000

***

# ZnTe2AsN, optimized geometry, DFT PBE
# Crystal system = tetragonal
# Magnetization = 0.0 μB/f.u.
# Offset from the most stable computed form = 0 meV/atom
# Formation energy without anion corrections = 783 meV per atom
data_ZnTe2AsN
_chemical_formula_sum 'Zn1 Te2 As1 N1'
_space_group_name_H-M_alt 'P 4/m m m'
_space_group_IT_number 123
_space_group_name_Hall '-P 4 2'
_cell_length_a 4.8519
_cell_length_b 4.8519
_cell_length_c 4.3394
_cell_angle_alpha 90.00
_cell_angle_beta 90.00
_cell_angle_gamma 90.00
loop_
_atom_site_label
_atom_site_type_symbol
_atom_site_fract_x
_atom_site_fract_y
_atom_site_fract_z
Zn1 Zn 0.0000 0.0000 0.0000
Te1 Te 0.0000 0.5000 0.5000
As1 As 0.5000 0.5000 0.0000
N1 N 0.5000 0.5000 0.5000

***

# LuGaH, optimized geometry, DFT PBE
# Crystal system = tetragonal
# Magnetization = 0.2 μB/f.u.
# Offset from the most stable computed form = 254 meV/atom
data_LuGaH
_chemical_formula_sum 'Lu2 Ga2 H2'
_space_group_name_H-M_alt 'I 4 m m'
_space_group_IT_number 107
_space_group_name_Hall 'I 4 -2'
_cell_length_a 3.0490
_cell_length_b 3.0490
_cell_length_c 10.6769
_cell_angle_alpha 90.00
_cell_angle_beta 90.00
_cell_angle_gamma 90.00
loop_
_atom_site_label
_atom_site_type_symbol
_atom_site_fract_x
_atom_site_fract_y
_atom_site_fract_z
Lu1 Lu 0.0000 0.0000 0.0000
Ga1 Ga 0.0000 0.0000 0.2789
H1 H 0.0000 0.0000 0.5476

***

# LiTc3Pd, optimized geometry, DFT PBE
# Formation energy from the elements = 1089 meV/atom
# Crystal system = cubic
# Magnetization = 0.0 μB/f.u.
# Offset from the most stable computed form = 0 meV/atom
data_LiTc3Pd
_chemical_formula_sum 'Li1 Tc3 Pd1'
_space_group_name_H-M_alt 'P m -3 m'
_space_group_IT_number 221
_space_group_name_Hall '-P 4 2 3'
_cell_length_a 4.1165
_cell_length_b 4.1165
_cell_length_c 4.1165
_cell_angle_alpha 90.00
_cell_angle_beta 90.00
_cell_angle_gamma 90.00
loop_
_atom_site_label
_atom_site_type_symbol
_atom_site_fract_x
_atom_site_fract_y
_atom_site_fract_z
Li1 Li 0.0000 0.0000 0.0000
Tc1 Tc 0.0000 0.0000 0.5000
Pd1 Pd 0.5000 0.5000 0.5000

***

# LaNd2Mg2Ga2, optimized geometry, DFT PBE
# Formation energy from the elements = -305 meV/atom
# Crystal system = trigonal
# Magnetization = 0.0 μB/f.u.
data_LaNd2Mg2Ga2
_chemical_formula_sum 'La3 Nd6 Mg6 Ga6'
_space_group_name_H-M_alt 'R -3 m'
_space_group_IT_number 166
_space_group_name_Hall '-R 3 2"'
_cell_length_a 4.8520
_cell_length_b 4.8520
_cell_length_c 27.3305
_cell_angle_alpha 90.00
_cell_angle_beta 90.00
_cell_angle_gamma 120.00
loop_
_atom_site_label
_atom_site_type_symbol
_atom_site_fract_x
_atom_site_fract_y
_atom_site_fract_z
La1 La 0.0000 0.0000 0.0000
Nd1 Nd 0.0000 0.0000 0.1301
Mg1 Mg 0.0000 0.0000 0.4035
Ga1 Ga 0.0000 0.0000 0.2611